Below is a relaxed TiCr2ReN crystal, with properties calculated at the PBE-GGA level.

Calculated values
Density (g cm⁻³): 9.726
DOS at the Fermi energy (states/eV/f.u.): 6.01
Formation energy (no corrections) (kJ per mole of atoms): -31
Space-group type: P4/mmm, No. 123
Final energy (eV per atom): -9.908
Volume (Å³ per atom): 12.02

a = 3.8222 Å, b = 3.8222 Å, c = 4.1145 Å
α = 90.00°, β = 90.00°, γ = 90.00°
With the nearest neighbours (Å) after each atom.
Fractional coordinates of all 5 atoms:
Ti1 0.0000 0.0000 0.0000  2 N 2.06
Cr1 0.0000 0.5000 0.5000  2 N 1.91
Cr2 0.5000 0.0000 0.5000  2 N 1.91
Re1 0.5000 0.5000 0.0000  4 Ti 2.70, 8 Cr 2.81
N1 0.0000 0.0000 0.5000  4 Cr 1.91, 2 Ti 2.06